Compound: Pr4GaS2Br
Source: Alexandria
Functional: PBE
Structure: relaxed

Unit cell a=7.3597 b=4.0911 c=7.4754 alpha=90.00 beta=108.00 gamma=90.00
Space group P2/m (No. 10)
Unique sites:
Pr1 0.2238 0.0000 0.2244 [2 per cell]
Pr2 0.2324 0.5000 0.7530 [2 per cell]
Ga1 0.5000 0.0000 0.0000 [1 per cell]
S1 0.0000 0.0000 0.5000 [1 per cell]
S2 0.0000 0.5000 0.0000 [1 per cell]
Br1 0.5000 0.5000 0.5000 [1 per cell]

The formation energy from raw total energies comes out at -1464.4 meV/atom.